Material: Ni2PtRh
Method: DFT, SCAN
State: PBEsol geometry

Unit cell a=8.470 b=2.642 c=4.578 alpha=90.00 beta=100.34 gamma=90.00
Space group C2/m (No. 12)
Asymmetric unit:
Ni (0.249, 0.000, 0.242) x4
Pt (0.000, 0.000, 0.500) x2
Rh (0.000, 0.500, 0.000) x2

formation energy from the elements = -0.1031 eV/atom
magnetic moment = 2.49 μB per formula unit

Material: ZnTc4
Method: DFT, SCAN
State: PBEsol geometry

Unit cell a=5.454 b=5.454 c=5.454 alpha=90.00 beta=90.00 gamma=90.00
Space group Im-3m (No. 229)
Asymmetric unit:
Zn (0.000, 0.000, 0.000) x2
Tc (0.250, 0.250, 0.250) x8

E above lowest polymorph = 1451.8 meV/atom
formation energy from the elements = 1.4942 eV/atom
magnetic moment = 0.00 μB per formula unit

Material: TmB2Ir3
Method: DFT, SCAN
State: PBEsol geometry

Unit cell a=5.3869 b=5.3869 c=3.1257 alpha=90.00 beta=90.00 gamma=120.00
Space group P6/mmm (No. 191)
Asymmetric unit:
Tm (0.0000, 0.0000, 0.0000) x1
B (0.3333, 0.6667, 0.0000) x2
Ir (0.0000, 0.5000, 0.5000) x3

formation energy from the elements = -0.8292 eV/atom
magnetic moment = 0.00 μB per formula unit

Material: TlP2Se
Method: DFT, SCAN
State: PBEsol geometry

Unit cell a=9.873 b=3.302 c=5.941 alpha=90.00 beta=115.29 gamma=90.00
Space group Cm (No. 8)
Asymmetric unit:
Tl (0.000, 0.000, 0.000) x2
P (0.281, 0.500, 0.401) x2
P (0.439, 0.000, 0.411) x2
Se (0.166, 0.000, 0.621) x2

E_form (uncorrected) = 0.216 eV/atom
E above lowest polymorph = 155.6 meV/atom
magnetic moment = 0.00 μB per formula unit

Material: Al2TeSe
Method: DFT, SCAN
State: PBEsol geometry

Unit cell a=3.298 b=5.567 c=9.417 alpha=90.00 beta=90.00 gamma=90.00
Space group Imm2 (No. 44)
Asymmetric unit:
Al (0.000, 0.000, 0.000) x2
Al (0.000, 0.500, 0.259) x2
Te (0.000, 0.500, 0.753) x2
Se (0.000, 0.000, 0.561) x2

E_form (uncorrected) = 0.047 eV/atom
E above lowest polymorph = 427.2 meV/atom
magnetic moment = 0.00 μB per formula unit

Material: BaMn2Ni
Method: DFT, SCAN
State: PBEsol geometry

Unit cell a=4.004 b=4.004 c=4.608 alpha=90.00 beta=90.00 gamma=90.00
Space group P4/mmm (No. 123)
Asymmetric unit:
Ba (0.000, 0.000, 0.000) x1
Mn (0.000, 0.500, 0.500) x2
Ni (0.500, 0.500, 0.000) x1

E above lowest polymorph = 626.7 meV/atom
formation energy from the elements = 0.6840 eV/atom
magnetic moment = 7.62 μB per formula unit

Material: MgAg3
Method: DFT, SCAN
State: PBEsol geometry

Unit cell a=6.483 b=6.483 c=6.483 alpha=90.00 beta=90.00 gamma=90.00
Space group Fm-3m (No. 225)
Asymmetric unit:
Mg (0.000, 0.000, 0.000) x4
Ag (0.000, 0.000, 0.500) x4
Ag (0.250, 0.250, 0.250) x8

E above lowest polymorph = 27.7 meV/atom
formation energy from the elements = -0.1318 eV/atom
magnetic moment = 0.00 μB per formula unit

Material: InCo2Ru
Method: DFT, SCAN
State: PBEsol geometry

Unit cell a=8.475 b=2.790 c=4.694 alpha=90.00 beta=101.42 gamma=90.00
Space group C2/m (No. 12)
Asymmetric unit:
In (0.000, 0.000, 0.000) x2
Co (0.242, 0.000, 0.707) x4
Ru (0.000, 0.500, 0.500) x2

formation energy from the elements = 0.3073 eV/atom
magnetic moment = 4.10 μB per formula unit

Material: NiMo2Rh
Method: DFT, SCAN
State: PBEsol geometry

Unit cell a=2.664 b=4.562 c=4.753 alpha=98.24 beta=90.06 gamma=106.80
Space group P1 (No. 1)
Asymmetric unit:
Ni (0.000, 0.000, 0.000) x1
Mo (0.258, 0.513, 0.796) x1
Mo (0.496, 0.993, 0.494) x1
Rh (0.748, 0.493, 0.269) x1

E above lowest polymorph = 90.5 meV/atom
formation energy from the elements = 0.0105 eV/atom
magnetic moment = 0.00 μB per formula unit

Material: ZrSi2TcN
Method: DFT, SCAN
State: PBEsol geometry

Unit cell a=4.748 b=4.748 c=3.672 alpha=90.00 beta=90.00 gamma=90.00
Space group P4/mmm (No. 123)
Asymmetric unit:
Zr (0.000, 0.000, 0.000) x1
Si (0.000, 0.500, 0.500) x2
Tc (0.500, 0.500, 0.500) x1
N (0.500, 0.500, 0.000) x1

E_form (uncorrected) = 0.400 eV/atom
magnetic moment = 0.00 μB per formula unit

Material: TiBi2Os
Method: DFT, SCAN
State: PBEsol geometry

Unit cell a=4.342 b=4.342 c=18.870 alpha=90.00 beta=90.00 gamma=90.00
Space group I-42d (No. 122)
Asymmetric unit:
Ti (0.000, 0.000, 0.000) x4
Bi (0.245, 0.250, 0.625) x8
Os (0.000, 0.000, 0.500) x4

formation energy from the elements = 0.7770 eV/atom
magnetic moment = 0.00 μB per formula unit

Material: CdSi2Tc
Method: DFT, SCAN
State: PBEsol geometry

Unit cell a=6.268 b=6.268 c=6.268 alpha=90.00 beta=90.00 gamma=90.00
Space group F-43m (No. 216)
Asymmetric unit:
Cd (0.000, 0.000, 0.000) x4
Si (0.000, 0.000, 0.500) x4
Si (0.250, 0.250, 0.750) x4
Tc (0.250, 0.250, 0.250) x4

E_form (uncorrected) = 0.740 eV/atom
magnetic moment = 0.94 μB per formula unit